VASP calculation (PBE-GGA) on a relaxed NdDyCuAu crystal.

Its total magnetic moment is 0.000 μB per formula unit. For the energy of formation from the pure elements, the calculation gives -518 meV per atom. For the excess energy over the best structure of this formula in the dataset, the calculation gives 0.000 eV per formula unit.

It has space group Amm2 (No. 38), with a = 4.583 Å, b = 3.834 Å, c = 10.996 Å, α = 90.00°, β = 90.00° and γ = 90.00°. The distinct sites, in fractional coordinates, are Nd at (0.000, 0.000, 0.000), Dy at (0.500, 0.000, 0.278), Cu at (0.500, 0.000, 0.563) and Au at (0.000, 0.000, 0.719).